Below is MnSiI2O after structural relaxation, with properties calculated at the GGA+U level.

Unit cell a=5.7925 b=5.7925 c=3.5840 alpha=90.00 beta=90.00 gamma=90.00
Last column: nearest neighbours and their distance in Å.
Sites, in units of the cell vectors:
I (0.0000, 0.5000, 0.0000)  2 Si 2.90
O (0.0000, 0.0000, 0.5000)  2 Si 1.79
Si (0.0000, 0.0000, 0.0000)  2 O 1.79
I (0.5000, 0.0000, 0.0000)  2 Si 2.90
Mn (0.5000, 0.5000, 0.5000)  8 I 3.41, 2 Mn 3.58

space-group type: P4/mmm
Fermi-level density of states: 1.43 states/eV/cell
final energy: -22.2 eV per cell
excess energy over the best structure of this formula in the dataset: 0 meV per atom